(1)
The following is a PBE-GGA calculation of CePmMgIr after structural relaxation, from Alexandria.

Cell: 7.2571 7.2571 7.2571 Å, 90.00 90.00 90.00°
Space group F-43m (No. 216)
Symmetry-distinct sites (fractional):
Ce 0.0000 0.0000 0.0000 x4
Pm 0.0000 0.0000 0.5000 x4
Mg 0.2500 0.2500 0.7500 x4
Ir 0.2500 0.2500 0.2500 x4

## Properties
Magnetic moment in μB/f.u.: 0.6
Energy of formation in eV per atom: -0.27
DOS at the Fermi energy in states/eV per cell: 25.32
Volume in Å³ per cell: 382

(2)
The following is a PBE-GGA calculation of CeMgIrPt after structural relaxation, from Alexandria.

Cell: 6.7523 6.7523 6.7523 Å, 90.00 90.00 90.00°
Space group F-43m (No. 216)
Symmetry-distinct sites (fractional):
Ce 0.0000 0.0000 0.0000 x4
Mg 0.0000 0.0000 0.5000 x4
Ir 0.2500 0.2500 0.2500 x4
Pt 0.2500 0.2500 0.7500 x4

## Properties
Magnetic moment in μB/f.u.: 0.0
Energy of formation in eV per atom: -0.70
DOS at the Fermi energy in states/eV per cell: 14.15
Volume in Å³ per cell: 308

(3)
The following is a PBE-GGA calculation of CeMgIrRh after structural relaxation, from Alexandria.

Cell: 3.6112 4.4454 4.5116 Å, 90.00 90.00 90.00°
Space group Pmmm (No. 47)
Symmetry-distinct sites (fractional):
Ce 0.0000 0.0000 0.0000 x1
Mg 0.0000 0.5000 0.5000 x1
Ir 0.5000 0.5000 0.0000 x1
Rh 0.5000 0.0000 0.5000 x1

## Properties
Magnetic moment in μB/f.u.: 0.0
Energy of formation in eV per atom: -0.65
Distance to the lowest polymorph of the same formula in eV/atom: 0.0000
DOS at the Fermi energy in states/eV per cell: 2.12
Volume in Å³ per cell: 72

(4)
The following is a PBE-GGA calculation of CeMgIrRh after structural relaxation, from Alexandria.

Cell: 6.6602 6.6602 6.6602 Å, 90.00 90.00 90.00°
Space group F-43m (No. 216)
Symmetry-distinct sites (fractional):
Ce 0.0000 0.0000 0.0000 x4
Mg 0.0000 0.0000 0.5000 x4
Ir 0.2500 0.2500 0.2500 x4
Rh 0.2500 0.2500 0.7500 x4

## Properties
Magnetic moment in μB/f.u.: 0.0
Energy of formation in eV per atom: -0.60
Distance to the lowest polymorph of the same formula in eV/atom: 0.0566
DOS at the Fermi energy in states/eV per cell: 11.94
Volume in Å³ per cell: 295